# PuHfO6

A geometry-optimized PuHfO6 structure (PBE-GGA, Alexandria).

## Properties
As for the density of states at the Fermi level: 0.237 states/eV/atom. As for the space-group type: No. 12.

a = 5.166 Å, b = 5.400 Å, c = 5.160 Å
α = 83.97°, β = 77.32°, γ = 61.43°
Atoms (fractional coordinates):
Pu: 0.500 0.000 0.500
Hf: 0.000 0.000 0.000
O: 0.254 0.000 0.258
O: 0.131 0.264 0.740
O: 0.746 0.000 0.742
O: 0.605 0.264 0.260
O: 0.869 0.736 0.260
O: 0.395 0.736 0.740


# Sc6Co2Te

A geometry-optimized Sc6Co2Te structure (PBE-GGA, Alexandria).

## Properties
As for the density of states at the Fermi level: 0.900 states/eV/atom. As for the space-group type: No. 71.

a = 7.826 Å, b = 7.826 Å, c = 7.826 Å
α = 105.20°, β = 111.18°, γ = 112.11°
Atoms (fractional coordinates):
Sc: 0.476 0.291 0.185
Sc: 0.524 0.709 0.815
Sc: 0.894 0.709 0.185
Sc: 0.106 0.291 0.815
Sc: 0.212 0.766 0.977
Sc: 0.788 0.234 0.023
Sc: 0.788 0.766 0.554
Sc: 0.212 0.234 0.446
Sc: 0.313 0.987 0.674
Sc: 0.687 0.013 0.326
Sc: 0.687 0.360 0.674
Sc: 0.313 0.640 0.326
Co: 0.500 0.376 0.876
Co: 0.500 0.624 0.124
Co: 0.341 0.000 0.341
Co: 0.659 0.000 0.659
Te: 0.000 0.500 0.500
Te: 0.000 0.000 0.000


# NaMnPbN2

A geometry-optimized NaMnPbN2 structure (PBE-GGA, Alexandria).

## Properties
As for the density of states at the Fermi level: 0.779 states/eV/atom. As for the space-group type: No. 123.

a = 4.490 Å, b = 4.490 Å, c = 5.161 Å
α = 90.00°, β = 90.00°, γ = 90.00°
Atoms (fractional coordinates):
Pb: 0.000 0.000 0.000
Na: 0.000 0.000 0.500
Mn: 0.500 0.500 0.500
N: 0.000 0.500 0.000
N: 0.500 0.000 0.000


# PmHo4Tm2

A geometry-optimized PmHo4Tm2 structure (PBE-GGA, Alexandria).

## Properties
The value obtained for the formation energy is 0.205 eV per atom. As for the density of states at the Fermi level: 1.667 states/eV/atom. As for the space-group type: No. 12. The energy above the most stable polymorph in this dataset comes out at 170.6 meV/atom.

a = 8.465 Å, b = 8.349 Å, c = 6.591 Å
α = 126.32°, β = 129.94°, γ = 90.02°
Atoms (fractional coordinates):
Pm: 0.000 0.000 0.000
Ho: 0.701 0.307 0.013
Ho: 0.299 0.693 0.987
Ho: 0.312 0.307 0.013
Ho: 0.688 0.693 0.987
Tm: 0.753 0.225 0.506
Tm: 0.247 0.775 0.494


The records above yield mass density values of 7.0, 4.7, 5.0, 8.4 g cm⁻³, respectively.
The records above yield VASP energy values of -9.084, -6.562, -4.204, -4.368 eV per atom, respectively.